The following is a PBE calculation of BaSnH6Pd2 after structural relaxation, from Alexandria.

Structure (POSCAR):
```
BaSnH6Pd2
1.0
4.1441 -6.4032 0.0000
4.1441 6.4032 0.0000
-0.5226 0.0000 4.7919
Ba Sn H Pd
2 2 12 4
direct
0.1711 0.8289 0.7500 Ba
0.8289 0.1711 0.2500 Ba
0.3954 0.6046 0.2500 Sn
0.6046 0.3954 0.7500 Sn
0.0146 0.6588 0.2036 H
0.1662 0.1667 0.9951 H
0.1667 0.1662 0.4951 H
0.1858 0.4988 0.5458 H
0.3412 0.9854 0.2964 H
0.4988 0.1858 0.0458 H
0.5012 0.8142 0.9542 H
0.6588 0.0146 0.7036 H
0.8142 0.5012 0.4542 H
0.8333 0.8338 0.5049 H
0.8338 0.8333 0.0049 H
0.9854 0.3412 0.7964 H
0.2056 0.3490 0.7710 Pd
0.3490 0.2056 0.2710 Pd
0.6510 0.7944 0.7290 Pd
0.7944 0.6510 0.2290 Pd
```

Final energy (eV/f.u.): -38.7
Calculated density (g cm⁻³): 6.20
V (Å³/cell): 254.31